Record 1
Compound: KLaB3
Source: Alexandria
Functional: PBE-GGA
Structure: optimized geometry

Geometry as extended XYZ:
```
5
Lattice="-1.3932 1.0049 -4.7387 1.8106 -4.4654 -1.4792 -4.4930 -2.1110 0.8732" Properties=species:S:1:pos:R:3 pbc="T T T"
B 0.9053 -2.2327 -0.7396
B -0.6966 0.5025 -2.3694
K -2.0378 -2.7858 -2.6724
B -2.2465 -1.0555 0.4366
La 0.0000 0.0000 0.0000
```

Summary:
E above lowest polymorph: 0.000 eV/atom
symmetry: Pm-3m

Record 2
Compound: CaZnI2O
Source: Alexandria
Functional: PBE-GGA
Structure: optimized geometry

Geometry as extended XYZ:
```
5
Lattice="5.8021 0.0000 0.0000 0.0000 5.8021 0.0000 0.0000 0.0000 3.8040" Properties=species:S:1:pos:R:3 pbc="T T T"
O 0.0000 0.0000 1.9020
Ca 2.9010 2.9010 1.9020
I 2.9010 0.0000 0.0000
Zn 0.0000 0.0000 0.0000
I 0.0000 2.9010 0.0000
```

Summary:
E above lowest polymorph: 0.000 eV/atom
symmetry: P4/mmm

Record 3
Compound: Li2LaSmCd4
Source: Alexandria
Functional: PBE-GGA
Structure: optimized geometry

Geometry as extended XYZ:
```
8
Lattice="-0.3326 -4.8176 1.8637 2.9645 -1.4416 3.9908 -5.1863 0.4258 7.3632" Properties=species:S:1:pos:R:3 pbc="T T T"
Cd 0.9419 -3.8361 4.6283
Cd -2.8816 -0.5290 5.3064
Li -0.6631 -1.4482 3.3263
Sm -1.2772 -2.9167 6.6089
Cd 0.3273 -5.3044 7.9114
La 0.0000 0.0000 0.0000
Cd -3.4963 -1.9973 8.5895
Li -1.8913 -4.3852 9.8915
```

Summary:
symmetry: R-3m
electronic total energy: -2.419 eV/atom

Record 4
Compound: ScZnCoCu
Source: Alexandria
Functional: PBE-GGA
Structure: optimized geometry

Geometry as extended XYZ:
```
4
Lattice="4.3124 0.0000 0.0000 2.1562 3.7347 0.0000 2.1562 1.2449 3.5211" Properties=species:S:1:pos:R:3 pbc="T T T"
Zn 4.3124 2.4898 1.7605
Co 6.4687 3.7347 2.6408
Sc 0.0000 0.0000 0.0000
Cu 2.1562 1.2449 0.8803
```

Summary:
symmetry: F-43m
electronic total energy: -4.891 eV/atom

Record 5
Compound: Pr4CoIrBr2
Source: Alexandria
Functional: PBE-GGA
Structure: optimized geometry

Geometry as extended XYZ:
```
8
Lattice="-2.2125 1.7760 -2.9707 -1.9005 -6.4289 -2.4281 -5.6566 2.1990 5.5276" Properties=species:S:1:pos:R:3 pbc="T T T"
Pr -5.0933 -0.0057 3.7900
Br -3.9346 1.9875 1.2785
Br -3.7786 -2.1149 1.5498
Co -2.0565 -2.3264 -2.6994
Pr -7.1007 -2.2441 1.1066
Pr -2.4639 -4.2242 -0.6904
Ir 0.0000 0.0000 0.0000
Pr -2.6690 -0.2097 -0.9777
```

Summary:
symmetry: P2/m
electronic total energy: -5.699 eV/atom

Record 6
Compound: Sm4Dy5Al
Source: Alexandria
Functional: PBE-GGA
Structure: optimized geometry

Geometry as extended XYZ:
```
10
Lattice="-2.3428 -2.2547 1.4823 -0.5647 -1.5100 -3.1892 17.8629 -15.7404 4.2899" Properties=species:S:1:pos:R:3 pbc="T T T"
Dy 3.7120 -6.4343 0.3872
Dy 15.0354 -16.4122 3.1065
Dy 11.2435 -13.0708 2.1959
Dy 7.4777 -9.7526 1.2915
Sm 10.8077 -9.5235 2.5955
Dy -0.0799 -3.0929 -0.5235
Sm 14.5747 -12.8429 3.5002
Sm 3.2883 -2.8975 0.7897
Al 0.0000 0.0000 0.0000
Sm 7.0553 -6.2169 1.6944
```

Summary:
E above lowest polymorph: 0.000 eV/atom
symmetry: P4/mmm